# 1
Compound: LiZnIN2
Source: the Alexandria database
Functional: PBEsol
Structure: relaxed

```
data_LiZnIN2
_cell_length_a 3.9464
_cell_length_b 3.9464
_cell_length_c 6.0946
_cell_angle_alpha 90.00
_cell_angle_beta 90.00
_cell_angle_gamma 90.00
_space_group_name_H-M_alt 'P 4/m m m'
_space_group_IT_number 123
_space_group_name_Hall '-P 4 2'
loop_
_atom_site_label
_atom_site_fract_x
_atom_site_fract_y
_atom_site_fract_z
Li1 0.0000 0.0000 0.0000
Zn1 0.5000 0.5000 0.5000
I1 0.5000 0.5000 0.0000
N1 0.0000 0.5000 0.5000
```


# 2
Compound: LiZrI2N
Source: the Alexandria database
Functional: PBEsol
Structure: relaxed

```
data_LiZrI2N
_cell_length_a 5.8675
_cell_length_b 5.8675
_cell_length_c 4.0076
_cell_angle_alpha 90.00
_cell_angle_beta 90.00
_cell_angle_gamma 90.00
_space_group_name_H-M_alt 'P 4/m m m'
_space_group_IT_number 123
_space_group_name_Hall '-P 4 2'
loop_
_atom_site_label
_atom_site_fract_x
_atom_site_fract_y
_atom_site_fract_z
Li1 0.0000 0.0000 0.0000
Zr1 0.5000 0.5000 0.5000
I1 0.0000 0.5000 0.5000
N1 0.5000 0.5000 0.0000
```


# 3
Compound: NaLi2I
Source: the Alexandria database
Functional: PBEsol
Structure: relaxed

```
data_NaLi2I
_cell_length_a 7.6132
_cell_length_b 7.6132
_cell_length_c 7.6132
_cell_angle_alpha 90.00
_cell_angle_beta 90.00
_cell_angle_gamma 90.00
_space_group_name_H-M_alt 'F m -3 m'
_space_group_IT_number 225
_space_group_name_Hall '-F 4 2 3'
loop_
_atom_site_label
_atom_site_fract_x
_atom_site_fract_y
_atom_site_fract_z
Na1 0.0000 0.0000 0.0000
Li1 0.2500 0.2500 0.2500
I1 0.0000 0.0000 0.5000
```


# 4
# Li3NbI, relaxed, DFT PBEsol
# - distance to the lowest polymorph of the same formula (meV/atom) = 0
data_Li3NbI
_cell_length_a 5.1140
_cell_length_b 5.1140
_cell_length_c 5.1140
_cell_angle_alpha 90.00
_cell_angle_beta 90.00
_cell_angle_gamma 90.00
_space_group_name_H-M_alt 'P m -3 m'
_space_group_IT_number 221
_space_group_name_Hall '-P 4 2 3'
loop_
_atom_site_label
_atom_site_fract_x
_atom_site_fract_y
_atom_site_fract_z
Li1 0.0000 0.0000 0.5000
Nb1 0.5000 0.5000 0.5000
I1 0.0000 0.0000 0.0000


# 5
Compound: LiZrNb2I
Source: the Alexandria database
Functional: PBEsol
Structure: relaxed

```
data_LiZrNb2I
_cell_length_a 5.0681
_cell_length_b 5.0681
_cell_length_c 4.3900
_cell_angle_alpha 90.00
_cell_angle_beta 90.00
_cell_angle_gamma 90.00
_space_group_name_H-M_alt 'P 4/m m m'
_space_group_IT_number 123
_space_group_name_Hall '-P 4 2'
loop_
_atom_site_label
_atom_site_fract_x
_atom_site_fract_y
_atom_site_fract_z
Li1 0.0000 0.0000 0.0000
Zr1 0.5000 0.5000 0.0000
Nb1 0.0000 0.5000 0.5000
I1 0.0000 0.0000 0.5000
```


# 6
Compound: LiNiTe2I
Source: the Alexandria database
Functional: PBEsol
Structure: relaxed

```
data_LiNiTe2I
_cell_length_a 4.9197
_cell_length_b 4.9197
_cell_length_c 5.2110
_cell_angle_alpha 90.00
_cell_angle_beta 90.00
_cell_angle_gamma 90.00
_space_group_name_H-M_alt 'P 4/m m m'
_space_group_IT_number 123
_space_group_name_Hall '-P 4 2'
loop_
_atom_site_label
_atom_site_fract_x
_atom_site_fract_y
_atom_site_fract_z
Li1 0.0000 0.0000 0.0000
Ni1 0.5000 0.5000 0.5000
Te1 0.0000 0.5000 0.0000
I1 0.0000 0.0000 0.5000
```


What raw formation energy values result from the calculations? In sequence: 935 -571 -262 689 1079 690 meV/atom.
What calculated volume values result from the calculations? In sequence: 19.0 27.6 27.6 26.7 22.6 25.2 A^3/atom.
What density of states at the Fermi level values result from the calculations? In sequence: 1.5 1.4 2.0 1.6 7.2 7.7 states/eV per cell.